(1)
TmPaB4 after structural relaxation, computed with GGA-PBE.

Cell: 4.7476 4.7476 4.7476 Å, 60.00 60.00 60.00°
Atoms (fractional coordinates):
Tm1 0.0000 0.0000 0.0000
Pa1 0.7500 0.7500 0.7500
B1 0.4067 0.4067 0.4067
B2 0.4067 0.4067 0.7800
B3 0.4067 0.7800 0.4067
B4 0.7800 0.4067 0.4067

As for the energy relative to the elements: 0.320 eV per atom. As for the density: 9.727 g/cm3. The value obtained for the offset from the most stable computed form is 4.74 eV/f.u. For the density of states at the Fermi level, the calculation gives 0.481 states/eV/atom.

(2)
Dy2HoOsC2 after structural relaxation, computed with GGA-PBE.

Cell: 5.5674 10.9986 3.7037 Å, 90.00 90.00 90.00°
Atoms (fractional coordinates):
Dy1 0.0475 0.2068 0.0000
Dy2 0.4525 0.7068 0.5000
Dy3 0.5475 0.2932 0.5000
Dy4 0.9525 0.7932 0.0000
Ho1 0.0000 0.5000 0.5000
Ho2 0.5000 0.0000 0.0000
Os1 0.0000 0.0000 0.5000
Os2 0.5000 0.5000 0.0000
C1 0.2275 0.6182 0.0000
C2 0.2725 0.1182 0.5000
C3 0.7275 0.8818 0.5000
C4 0.7725 0.3818 0.0000

As for the energy relative to the elements: -0.219 eV per atom. As for the density: 10.312 g/cm3. For the density of states at the Fermi level, the calculation gives 0.675 states/eV/atom.

(3)
Na5AgSn after structural relaxation, computed with GGA-PBE.

Cell: 5.9607 5.9607 11.7353 Å, 98.11 98.11 89.32°
Atoms (fractional coordinates):
Na1 0.0351 0.5522 0.1469
Na2 0.0981 0.9019 0.7500
Na3 0.2342 0.4978 0.4689
Na4 0.4478 0.9649 0.3531
Na5 0.4978 0.2342 0.9689
Na6 0.5022 0.7658 0.0311
Na7 0.5522 0.0351 0.6469
Na8 0.7658 0.5022 0.5311
Na9 0.9019 0.0981 0.2500
Na10 0.9649 0.4478 0.8531
Ag1 0.4652 0.5348 0.7500
Ag2 0.5348 0.4652 0.2500
Sn1 0.0000 0.0000 0.0000
Sn2 0.0000 0.0000 0.5000

As for the energy relative to the elements: -0.037 eV per atom. As for the density: 2.776 g/cm3. For the density of states at the Fermi level, the calculation gives 0.300 states/eV/atom.

(4)
Cd6Pt2Au after structural relaxation, computed with GGA-PBE.

Cell: 7.8713 7.8713 4.6289 Å, 106.76 106.76 49.56°
Atoms (fractional coordinates):
Cd1 0.0681 0.5904 0.3285
Cd2 0.2440 0.7560 0.0000
Cd3 0.4096 0.9319 0.6715
Cd4 0.5904 0.0681 0.3285
Cd5 0.7560 0.2440 0.0000
Cd6 0.9319 0.4096 0.6715
Pt1 0.1672 0.1672 0.1682
Pt2 0.8328 0.8328 0.8318
Au1 0.5000 0.5000 0.5000

As for the energy relative to the elements: -0.214 eV per atom. As for the density: 10.122 g/cm3. For the density of states at the Fermi level, the calculation gives 0.381 states/eV/atom.

(5)
Th6ReSe5 after structural relaxation, computed with GGA-PBE.

Cell: 7.3306 7.3306 7.3275 Å, 99.70 99.70 119.58°
Atoms (fractional coordinates):
Th1 0.0784 0.3937 0.7359
Th2 0.2363 0.2363 0.2543
Th3 0.3937 0.0784 0.7359
Th4 0.6063 0.9216 0.2641
Th5 0.7637 0.7637 0.7457
Th6 0.9216 0.6063 0.2641
Re1 0.0000 0.0000 0.5000
Se1 0.1752 0.8248 0.0000
Se2 0.3349 0.6651 0.5000
Se3 0.5000 0.5000 0.0000
Se4 0.6651 0.3349 0.5000
Se5 0.8248 0.1752 0.0000

As for the density: 10.154 g/cm3. For the density of states at the Fermi level, the calculation gives 0.673 states/eV/atom. The calculation puts the uncorrected formation energy at -1.302 eV/atom.

(6)
Ca2AgH after structural relaxation, computed with GGA-PBE.

Cell: 7.7306 7.7306 7.7306 Å, 28.22 28.22 28.22°
Atoms (fractional coordinates):
Ca1 0.0000 0.0000 0.0000
Ca2 0.1995 0.1995 0.1995
Ag1 0.4319 0.4319 0.4319
H1 0.6038 0.6038 0.6038

As for the density: 3.439 g/cm3. The value obtained for the offset from the most stable computed form is 0.68 eV/f.u. For the density of states at the Fermi level, the calculation gives 0.481 states/eV/atom.

(7)
CsHfH after structural relaxation, computed with GGA-PBE.

Cell: 13.8337 3.4641 3.4641 Å, 59.96 90.00 90.00°
Atoms (fractional coordinates):
Cs1 0.1466 0.0000 0.0000
Cs2 0.8534 0.0000 0.0000
Hf1 0.3989 0.6655 0.6655
Hf2 0.6011 0.6655 0.6655
H1 0.0000 0.3328 0.3328
H2 0.5000 0.3316 0.3316

The calculation puts the raw total energy at -4.139 eV per atom. As for the density: 7.220 g/cm3. For the density of states at the Fermi level, the calculation gives 0.630 states/eV/atom.

(8)
CsK2CuGe after structural relaxation, computed with GGA-PBE.

Cell: 7.0829 7.0829 5.6862 Å, 90.00 90.00 90.00°
Atoms (fractional coordinates):
Cs1 0.0000 0.0000 0.0000
K1 0.0000 0.5000 0.0000
K2 0.5000 0.0000 0.0000
Cu1 0.0000 0.0000 0.5000
Ge1 0.5000 0.5000 0.5000

As for the energy relative to the elements: 0.971 eV per atom. As for the density: 2.022 g/cm3. For the density of states at the Fermi level, the calculation gives 0.921 states/eV/atom.

(9)
LiPuNbN3 after structural relaxation, computed with GGA-PBE.

Cell: 6.6444 3.1944 6.8451 Å, 90.00 103.47 90.00°
Atoms (fractional coordinates):
Li1 0.0806 0.2500 0.0865
Li2 0.9194 0.7500 0.9135
Pu1 0.1879 0.2500 0.7121
Pu2 0.8121 0.7500 0.2879
Nb1 0.3347 0.7500 0.3147
Nb2 0.6653 0.2500 0.6853
N1 0.1155 0.2500 0.3683
N2 0.2201 0.7500 0.0228
N3 0.4351 0.7500 0.6641
N4 0.5649 0.2500 0.3359
N5 0.7799 0.2500 0.9772
N6 0.8845 0.7500 0.6317

As for the density: 9.070 g/cm3. For the density of states at the Fermi level, the calculation gives 1.149 states/eV/atom. The calculation puts the uncorrected formation energy at -0.882 eV/atom.

(10)
ZrCdRhCl2 after structural relaxation, computed with GGA-PBE.

Cell: 4.8343 4.8343 5.1267 Å, 90.00 90.00 90.00°
Atoms (fractional coordinates):
Zr1 0.0000 0.0000 0.0000
Cd1 0.5000 0.5000 0.0000
Rh1 0.0000 0.0000 0.5000
Cl1 0.0000 0.5000 0.5000
Cl2 0.5000 0.0000 0.5000

As for the density: 5.231 g/cm3. For the density of states at the Fermi level, the calculation gives 0.787 states/eV/atom. The calculation puts the uncorrected formation energy at 0.042 eV/atom.

(11)
NaMgPd2 after structural relaxation, computed with GGA-PBE.

Cell: 5.8857 5.8857 5.8857 Å, 103.46 103.46 122.31°
Atoms (fractional coordinates):
Na1 0.0000 0.0000 0.0000
Na2 0.7500 0.2500 0.5000
Mg1 0.2500 0.7500 0.5000
Mg2 0.5000 0.5000 0.0000
Pd1 0.1450 0.6250 0.0200
Pd2 0.3750 0.3950 0.5200
Pd3 0.6050 0.1250 0.9800
Pd4 0.8750 0.8550 0.4800

As for the energy relative to the elements: -0.094 eV per atom. As for the density: 5.724 g/cm3. For the density of states at the Fermi level, the calculation gives 0.361 states/eV/atom.

(12)
Ba2AgPb2 after structural relaxation, computed with GGA-PBE.

Cell: 6.7538 6.7538 12.7183 Å, 116.17 116.17 45.51°
Atoms (fractional coordinates):
Ba1 0.0212 0.0212 0.3344
Ba2 0.1877 0.1877 0.1109
Ba3 0.8123 0.8123 0.8891
Ba4 0.9788 0.9788 0.6656
Ag1 0.2741 0.2741 0.6565
Ag2 0.7259 0.7259 0.3435
Pb1 0.3560 0.3560 0.4432
Pb2 0.4821 0.4821 0.1151
Pb3 0.5179 0.5179 0.8849
Pb4 0.6440 0.6440 0.5568

As for the energy relative to the elements: -0.457 eV per atom. As for the density: 7.282 g/cm3. The value obtained for the offset from the most stable computed form is 0.00 eV/f.u. For the density of states at the Fermi level, the calculation gives 0.697 states/eV/atom.